No. 1
Here is an optimized crystal structure of CaFePt from Alexandria. Energies are from GGA-PBE.

The structure in CIF format:
```
data_CaFePt
_space_group_name_H-M_alt 'P 1'
_space_group_IT_number 1
_space_group_name_Hall 'P 1'
_cell_length_a 3.1043
_cell_length_b 3.1043
_cell_length_c 6.7267
_cell_angle_alpha 90.00
_cell_angle_beta 90.00
_cell_angle_gamma 120.00
loop_
_atom_site_label
_atom_site_type_symbol
_atom_site_fract_x
_atom_site_fract_y
_atom_site_fract_z
_atom_site_occupancy
Ca1 Ca 0.0000 0.0000 0.9942 1
Fe1 Fe 0.6667 0.3333 0.3620 1
Pt1 Pt 0.3333 0.6667 0.6438 1
```

Results
**Calculated formation energy**: 0.259 eV/atom



No. 2
Here is an optimized crystal structure of CaFe2PtS from Alexandria. Energies are from GGA-PBE.

The structure in CIF format:
```
data_CaFe2PtS
_space_group_name_H-M_alt 'P 1'
_space_group_IT_number 1
_space_group_name_Hall 'P 1'
_cell_length_a 4.2779
_cell_length_b 4.7104
_cell_length_c 4.2779
_cell_angle_alpha 90.00
_cell_angle_beta 90.00
_cell_angle_gamma 90.00
loop_
_atom_site_label
_atom_site_type_symbol
_atom_site_fract_x
_atom_site_fract_y
_atom_site_fract_z
_atom_site_occupancy
S1 S 0.0000 0.0000 0.0000 1
Ca1 Ca 0.5000 0.5000 0.5000 1
Fe1 Fe 0.0000 0.0000 0.5000 1
Fe2 Fe 0.5000 0.0000 0.0000 1
Pt1 Pt 0.0000 0.5000 0.0000 1
```

Results
**Uncorrected formation energy**: -0.59 eV per formula unit



No. 3
Here is an optimized crystal structure of CaScFePt2 from Alexandria. Energies are from GGA-PBE.

The structure in CIF format:
```
data_CaScFePt2
_space_group_name_H-M_alt 'P 1'
_space_group_IT_number 1
_space_group_name_Hall 'P 1'
_cell_length_a 4.8020
_cell_length_b 5.2740
_cell_length_c 4.8020
_cell_angle_alpha 90.00
_cell_angle_beta 90.00
_cell_angle_gamma 90.00
loop_
_atom_site_label
_atom_site_type_symbol
_atom_site_fract_x
_atom_site_fract_y
_atom_site_fract_z
_atom_site_occupancy
Sc1 Sc 0.0000 0.0000 0.0000 1
Ca1 Ca 0.0000 0.5000 0.0000 1
Fe1 Fe 0.5000 0.5000 0.5000 1
Pt1 Pt 0.0000 0.0000 0.5000 1
Pt2 Pt 0.5000 0.0000 0.0000 1
```

Results
**Calculated formation energy**: 0.834 eV/atom



No. 4
Here is an optimized crystal structure of Ca2FeSi4Pt3 from Alexandria. Energies are from GGA-PBE.

The structure in CIF format:
```
data_Ca2FeSi4Pt3
_space_group_name_H-M_alt 'P 1'
_space_group_IT_number 1
_space_group_name_Hall 'P 1'
_cell_length_a 4.0992
_cell_length_b 4.0992
_cell_length_c 10.1498
_cell_angle_alpha 90.00
_cell_angle_beta 90.00
_cell_angle_gamma 90.00
loop_
_atom_site_label
_atom_site_type_symbol
_atom_site_fract_x
_atom_site_fract_y
_atom_site_fract_z
_atom_site_occupancy
Ca1 Ca 0.5000 0.0000 0.2530 1
Ca2 Ca 0.0000 0.5000 0.7470 1
Fe1 Fe 0.5000 0.5000 0.5000 1
Si1 Si 0.5000 0.5000 0.0000 1
Si2 Si 0.0000 0.0000 0.0000 1
Si3 Si 0.5000 0.0000 0.6241 1
Si4 Si 0.0000 0.5000 0.3759 1
Pt1 Pt 0.0000 0.0000 0.5000 1
Pt2 Pt 0.5000 0.0000 0.8686 1
Pt3 Pt 0.0000 0.5000 0.1314 1
```

Results
**Uncorrected formation energy**: -8.41 eV per formula unit



No. 5
Here is an optimized crystal structure of CaFe2TePt from Alexandria. Energies are from GGA-PBE.

The structure in CIF format:
```
data_CaFe2TePt
_space_group_name_H-M_alt 'P 1'
_space_group_IT_number 1
_space_group_name_Hall 'P 1'
_cell_length_a 4.7711
_cell_length_b 5.4838
_cell_length_c 4.7711
_cell_angle_alpha 90.00
_cell_angle_beta 90.00
_cell_angle_gamma 90.00
loop_
_atom_site_label
_atom_site_type_symbol
_atom_site_fract_x
_atom_site_fract_y
_atom_site_fract_z
_atom_site_occupancy
Ca1 Ca 0.0000 0.5000 0.0000 1
Te1 Te 0.5000 0.5000 0.5000 1
Fe1 Fe 0.0000 0.0000 0.5000 1
Fe2 Fe 0.5000 0.0000 0.0000 1
Pt1 Pt 0.0000 0.0000 0.0000 1
```

Results
**Uncorrected formation energy**: 1.17 eV per formula unit



No. 6
Here is an optimized crystal structure of CaPuFe from Alexandria. Energies are from GGA-PBE.

The structure in CIF format:
```
data_CaPuFe
_space_group_name_H-M_alt 'P 1'
_space_group_IT_number 1
_space_group_name_Hall 'P 1'
_cell_length_a 3.3099
_cell_length_b 4.4734
_cell_length_c 10.2377
_cell_angle_alpha 103.80
_cell_angle_beta 99.30
_cell_angle_gamma 90.00
loop_
_atom_site_label
_atom_site_type_symbol
_atom_site_fract_x
_atom_site_fract_y
_atom_site_fract_z
_atom_site_occupancy
Ca1 Ca 0.0752 0.8330 0.1503 1
Ca2 Ca 0.9248 0.1670 0.8497 1
Fe1 Fe 0.8321 0.5538 0.6642 1
Fe2 Fe 0.1679 0.4462 0.3358 1
Pu1 Pu 0.7613 0.8301 0.5226 1
Pu2 Pu 0.2387 0.1699 0.4774 1
```

Results
**Calculated formation energy**: 0.501 eV/atom



No. 7
Here is an optimized crystal structure of CaPuFe4 from Alexandria. Energies are from GGA-PBE.

The structure in CIF format:
```
data_CaPuFe4
_space_group_name_H-M_alt 'P 1'
_space_group_IT_number 1
_space_group_name_Hall 'P 1'
_cell_length_a 5.0697
_cell_length_b 5.0697
_cell_length_c 5.0697
_cell_angle_alpha 60.00
_cell_angle_beta 60.00
_cell_angle_gamma 60.00
loop_
_atom_site_label
_atom_site_type_symbol
_atom_site_fract_x
_atom_site_fract_y
_atom_site_fract_z
_atom_site_occupancy
Ca1 Ca 0.0000 0.0000 0.0000 1
Fe1 Fe 0.6241 0.6241 0.1278 1
Fe2 Fe 0.6241 0.1278 0.6241 1
Fe3 Fe 0.6241 0.6241 0.6241 1
Fe4 Fe 0.1278 0.6241 0.6241 1
Pu1 Pu 0.2500 0.2500 0.2500 1
```

Results
**Calculated formation energy**: 0.319 eV/atom



No. 8
Here is an optimized crystal structure of RbCa2Fe from Alexandria. Energies are from GGA-PBE.

The structure in CIF format:
```
data_RbCa2Fe
_space_group_name_H-M_alt 'P 1'
_space_group_IT_number 1
_space_group_name_Hall 'P 1'
_cell_length_a 7.8653
_cell_length_b 7.8653
_cell_length_c 7.8904
_cell_angle_alpha 60.11
_cell_angle_beta 60.11
_cell_angle_gamma 90.00
loop_
_atom_site_label
_atom_site_type_symbol
_atom_site_fract_x
_atom_site_fract_y
_atom_site_fract_z
_atom_site_occupancy
Ca1 Ca 0.3752 0.1250 0.2500 1
Ca2 Ca 0.3748 0.6250 0.2500 1
Ca3 Ca 0.3750 0.6248 0.7500 1
Ca4 Ca 0.8750 0.6252 0.7500 1
Fe1 Fe 0.5000 0.5000 0.0000 1
Fe2 Fe 0.2500 0.7500 0.5000 1
Rb1 Rb 0.0000 0.0000 0.0000 1
Rb2 Rb 0.7500 0.2500 0.5000 1
```

Results
**Calculated formation energy**: 0.874 eV/atom



No. 9
Here is an optimized crystal structure of RbCa2Fe from Alexandria. Energies are from GGA-PBE.

The structure in CIF format:
```
data_RbCa2Fe
_space_group_name_H-M_alt 'P 1'
_space_group_IT_number 1
_space_group_name_Hall 'P 1'
_cell_length_a 5.7934
_cell_length_b 5.7934
_cell_length_c 5.7934
_cell_angle_alpha 60.00
_cell_angle_beta 60.00
_cell_angle_gamma 60.00
loop_
_atom_site_label
_atom_site_type_symbol
_atom_site_fract_x
_atom_site_fract_y
_atom_site_fract_z
_atom_site_occupancy
Ca1 Ca 0.2500 0.2500 0.2500 1
Ca2 Ca 0.7500 0.7500 0.7500 1
Fe1 Fe 0.0000 0.0000 0.0000 1
Rb1 Rb 0.5000 0.5000 0.5000 1
```

Results
**Calculated formation energy**: 0.765 eV/atom



No. 10
Here is an optimized crystal structure of Rb3CaFe from Alexandria. Energies are from GGA-PBE.

The structure in CIF format:
```
data_Rb3CaFe
_space_group_name_H-M_alt 'P 1'
_space_group_IT_number 1
_space_group_name_Hall 'P 1'
_cell_length_a 6.8379
_cell_length_b 6.8379
_cell_length_c 6.8379
_cell_angle_alpha 90.00
_cell_angle_beta 90.00
_cell_angle_gamma 90.00
loop_
_atom_site_label
_atom_site_type_symbol
_atom_site_fract_x
_atom_site_fract_y
_atom_site_fract_z
_atom_site_occupancy
Ca1 Ca 0.5000 0.5000 0.5000 1
Fe1 Fe 0.0000 0.0000 0.0000 1
Rb1 Rb 0.0000 0.5000 0.0000 1
Rb2 Rb 0.0000 0.0000 0.5000 1
Rb3 Rb 0.5000 0.0000 0.0000 1
```

Results
**Calculated formation energy**: 0.872 eV/atom



No. 11
Here is an optimized crystal structure of Rb2CaFeSi from Alexandria. Energies are from GGA-PBE.

The structure in CIF format:
```
data_Rb2CaFeSi
_space_group_name_H-M_alt 'P 1'
_space_group_IT_number 1
_space_group_name_Hall 'P 1'
_cell_length_a 7.3054
_cell_length_b 5.2966
_cell_length_c 7.3054
_cell_angle_alpha 90.00
_cell_angle_beta 90.00
_cell_angle_gamma 90.00
loop_
_atom_site_label
_atom_site_type_symbol
_atom_site_fract_x
_atom_site_fract_y
_atom_site_fract_z
_atom_site_occupancy
Ca1 Ca 0.0000 0.0000 0.0000 1
Si1 Si 0.0000 0.5000 0.0000 1
Fe1 Fe 0.5000 0.5000 0.5000 1
Rb1 Rb 0.0000 0.0000 0.5000 1
Rb2 Rb 0.5000 0.0000 0.0000 1
```

Results
**Uncorrected formation energy**: 6.17 eV per formula unit



No. 12
Here is an optimized crystal structure of RbSrCaFe2 from Alexandria. Energies are from GGA-PBE.

The structure in CIF format:
```
data_RbSrCaFe2
_space_group_name_H-M_alt 'P 1'
_space_group_IT_number 1
_space_group_name_Hall 'P 1'
_cell_length_a 5.4525
_cell_length_b 6.3460
_cell_length_c 5.4525
_cell_angle_alpha 90.00
_cell_angle_beta 90.00
_cell_angle_gamma 90.00
loop_
_atom_site_label
_atom_site_type_symbol
_atom_site_fract_x
_atom_site_fract_y
_atom_site_fract_z
_atom_site_occupancy
Sr1 Sr 0.0000 0.5000 0.0000 1
Ca1 Ca 0.0000 0.0000 0.0000 1
Fe1 Fe 0.0000 0.0000 0.5000 1
Fe2 Fe 0.5000 0.0000 0.0000 1
Rb1 Rb 0.5000 0.5000 0.5000 1
```

Results
**Calculated formation energy**: 1.366 eV/atom



Number 1: E_tot -15.73 eV/cell, DOS(E_F) 3.04 states/eV per cell. Number 2: E_tot -29.69 eV/cell, DOS(E_F) 3.24 states/eV per cell. Number 3: E_tot -24.71 eV/cell, DOS(E_F) 6.61 states/eV per cell. Number 4: E_tot -60.69 eV/cell, DOS(E_F) 6.47 states/eV per cell. Number 5: E_tot -26.94 eV/cell, DOS(E_F) 4.70 states/eV per cell. Number 6: E_tot -46.58 eV/cell, DOS(E_F) 9.02 states/eV per cell. Number 7: E_tot -48.27 eV/cell, DOS(E_F) 17.54 states/eV per cell. Number 8: E_tot -19.88 eV/cell, DOS(E_F) 16.44 states/eV per cell. Number 9: E_tot -10.37 eV/cell, DOS(E_F) 8.52 states/eV per cell. Number 10: E_tot -9.01 eV/cell, DOS(E_F) 19.93 states/eV per cell. Number 11: E_tot -11.65 eV/cell, DOS(E_F) 32.92 states/eV per cell. Number 12: E_tot -14.74 eV/cell, DOS(E_F) 17.51 states/eV per cell.